[1]
Below is a geometry-optimized SrGaAg2Ge structure, with properties calculated at the PBE level.

Cell and atoms, written as CIF:
```
data_SrGaAg2Ge
_symmetry_space_group_name_H-M 'I 4 m m'
_symmetry_Int_Tables_number 107
_symmetry_space_group_name_Hall 'I 4 -2'
_cell_length_a 4.578
_cell_length_b 4.578
_cell_length_c 10.641
_cell_angle_alpha 90.00
_cell_angle_beta 90.00
_cell_angle_gamma 90.00
loop_
_atom_site_label
_atom_site_fract_x
_atom_site_fract_y
_atom_site_fract_z
Sr1 0.000 0.000 0.000
Ga1 0.000 0.000 0.379
Ag1 0.000 0.500 0.247
Ge1 0.000 0.000 0.616
```

Properties
Volume, Å³/cell: 223.03
E_tot, eV per atom: -3.34

[2]
Below is a geometry-optimized HfZrGa2Ag2 structure, with properties calculated at the PBE level.

Cell and atoms, written as CIF:
```
data_HfZrGa2Ag2
_symmetry_space_group_name_H-M 'P 1 m 1'
_symmetry_Int_Tables_number 6
_cell_length_a 8.883
_cell_length_b 4.440
_cell_length_c 13.320
_cell_angle_alpha 90.00
_cell_angle_beta 109.47
_cell_angle_gamma 90.00
loop_
_symmetry_equiv_pos_as_xyz
'x,y,z'
'x,-y,z'
loop_
_atom_site_label
_atom_site_fract_x
_atom_site_fract_y
_atom_site_fract_z
Hf1 0.000 0.000 0.000
Hf2 0.125 0.500 0.750
Hf3 0.374 0.500 0.249
Hf4 0.875 0.500 0.249
Zr1 0.249 0.000 0.499
Zr2 0.499 0.000 0.999
Zr3 0.624 0.500 0.749
Zr4 0.749 0.000 0.499
Ga1 0.124 0.000 0.248
Ga2 0.249 0.500 0.999
Ga3 0.374 0.000 0.750
Ga4 0.499 0.500 0.499
Ga5 0.624 0.000 0.249
Ga6 0.750 0.500 0.000
Ga7 0.875 0.000 0.750
Ga8 0.999 0.500 0.499
Ag1 0.062 0.500 0.124
Ag2 0.185 0.000 0.874
Ag3 0.310 0.500 0.625
Ag4 0.436 0.000 0.372
Ag5 0.563 0.500 0.126
Ag6 0.690 0.000 0.876
Ag7 0.814 0.500 0.625
Ag8 0.936 0.000 0.372
```

Properties
Volume, Å³/cell: 495.32
E_tot, eV per atom: -5.11
Magnetization, μB per atom: 0.0001

[3]
Below is a geometry-optimized GaAgHg structure, with properties calculated at the PBE level.

Cell and atoms, written as CIF:
```
data_GaAgHg
_symmetry_space_group_name_H-M 'F -4 3 m'
_symmetry_Int_Tables_number 216
_symmetry_space_group_name_Hall 'F -4 2 3'
_cell_length_a 6.397
_cell_length_b 6.397
_cell_length_c 6.397
_cell_angle_alpha 90.00
_cell_angle_beta 90.00
_cell_angle_gamma 90.00
loop_
_atom_site_label
_atom_site_fract_x
_atom_site_fract_y
_atom_site_fract_z
Ga1 0.000 0.000 0.000
Ag1 0.250 0.250 0.750
Hg1 0.250 0.250 0.250
```

Properties
Volume, Å³/cell: 261.73
E_tot, eV per atom: -1.95

[4]
Below is a geometry-optimized GaAg2Hg structure, with properties calculated at the PBE level.

Cell and atoms, written as CIF:
```
data_GaAg2Hg
_symmetry_space_group_name_H-M 'F -4 3 m'
_symmetry_Int_Tables_number 216
_symmetry_space_group_name_Hall 'F -4 2 3'
_cell_length_a 6.789
_cell_length_b 6.789
_cell_length_c 6.789
_cell_angle_alpha 90.00
_cell_angle_beta 90.00
_cell_angle_gamma 90.00
loop_
_atom_site_label
_atom_site_fract_x
_atom_site_fract_y
_atom_site_fract_z
Ga1 0.000 0.000 0.000
Ag1 0.000 0.000 0.500
Ag2 0.250 0.250 0.750
Hg1 0.250 0.250 0.250
```

Properties
Volume, Å³/cell: 312.84
E_tot, eV per atom: -2.18

[5]
Below is a geometry-optimized Ho3Mg3GaAgHg structure, with properties calculated at the PBE level.

Cell and atoms, written as CIF:
```
data_Ho3Mg3GaAgHg
_symmetry_space_group_name_H-M 'P -6'
_symmetry_Int_Tables_number 174
_cell_length_a 7.4814
_cell_length_b 7.4814
_cell_length_c 4.3355
_cell_angle_alpha 90.00
_cell_angle_beta 90.00
_cell_angle_gamma 120.00
loop_
_symmetry_equiv_pos_as_xyz
'x,y,z'
'-x+y,-x,-z'
'-y,x-y,z'
'x,y,-z'
'-x+y,-x,z'
'-y,x-y,-z'
loop_
_atom_site_label
_atom_site_fract_x
_atom_site_fract_y
_atom_site_fract_z
Ho1 0.0126 0.4235 0.0000
Mg1 0.0014 0.7560 0.5000
Ga1 0.3333 0.6667 0.5000
Ag1 0.0000 0.0000 0.0000
Hg1 0.6667 0.3333 0.5000
```

Properties
Volume, Å³/cell: 210.15
E_tot, eV per atom: -3.13
Magnetization, μB per atom: 0.0018

[6]
Below is a geometry-optimized LiGaAgHg structure, with properties calculated at the PBE level.

Cell and atoms, written as CIF:
```
data_LiGaAgHg
_symmetry_space_group_name_H-M 'F -4 3 m'
_symmetry_Int_Tables_number 216
_symmetry_space_group_name_Hall 'F -4 2 3'
_cell_length_a 6.579
_cell_length_b 6.579
_cell_length_c 6.579
_cell_angle_alpha 90.00
_cell_angle_beta 90.00
_cell_angle_gamma 90.00
loop_
_atom_site_label
_atom_site_fract_x
_atom_site_fract_y
_atom_site_fract_z
Li1 0.000 0.000 0.000
Ga1 0.000 0.000 0.500
Ag1 0.250 0.250 0.250
Hg1 0.250 0.250 0.750
```

Properties
Volume, Å³/cell: 284.76
E_tot, eV per atom: -2.21
Energy above the most stable polymorph in this dataset, eV per atom: 0.000

[7]
Below is a geometry-optimized LiGaAgHg structure, with properties calculated at the PBE level.

Cell and atoms, written as CIF:
```
data_LiGaAgHg
_symmetry_space_group_name_H-M 'F -4 3 m'
_symmetry_Int_Tables_number 216
_symmetry_space_group_name_Hall 'F -4 2 3'
_cell_length_a 6.634
_cell_length_b 6.634
_cell_length_c 6.634
_cell_angle_alpha 90.00
_cell_angle_beta 90.00
_cell_angle_gamma 90.00
loop_
_atom_site_label
_atom_site_fract_x
_atom_site_fract_y
_atom_site_fract_z
Li1 0.000 0.000 0.000
Ga1 0.250 0.250 0.250
Ag1 0.000 0.000 0.500
Hg1 0.250 0.250 0.750
```

Properties
Volume, Å³/cell: 291.95
E_tot, eV per atom: -2.18
Energy above the most stable polymorph in this dataset, eV per atom: 0.032

[8]
Below is a geometry-optimized Pr3Mg3GaAgHg structure, with properties calculated at the PBE level.

Cell and atoms, written as CIF:
```
data_Pr3Mg3GaAgHg
_symmetry_space_group_name_H-M 'P -6'
_symmetry_Int_Tables_number 174
_cell_length_a 7.7303
_cell_length_b 7.7303
_cell_length_c 4.4940
_cell_angle_alpha 90.00
_cell_angle_beta 90.00
_cell_angle_gamma 120.00
loop_
_symmetry_equiv_pos_as_xyz
'x,y,z'
'-x+y,-x,-z'
'-y,x-y,z'
'x,y,-z'
'-x+y,-x,z'
'-y,x-y,-z'
loop_
_atom_site_label
_atom_site_fract_x
_atom_site_fract_y
_atom_site_fract_z
Pr1 0.0900 0.7454 0.0000
Mg1 0.4272 0.0927 0.5000
Ga1 0.3333 0.6667 0.5000
Ag1 0.6667 0.3333 0.0000
Hg1 0.0000 0.0000 0.5000
```

Properties
Volume, Å³/cell: 232.57
E_tot, eV per atom: -3.19
Magnetization, μB per atom: 0.0036

[9]
Below is a geometry-optimized Ho3Ga4Ag2 structure, with properties calculated at the PBE level.

Cell and atoms, written as CIF:
```
data_Ho3Ga4Ag2
_symmetry_space_group_name_H-M 'C 1 2/m 1'
_symmetry_Int_Tables_number 12
_cell_length_a 10.612
_cell_length_b 4.546
_cell_length_c 8.533
_cell_angle_alpha 90.00
_cell_angle_beta 114.40
_cell_angle_gamma 90.00
loop_
_symmetry_equiv_pos_as_xyz
'x,y,z'
'-x,-y,-z'
'-x,y,-z'
'x,-y,z'
'x+1/2,y+1/2,z'
'-x+1/2,-y+1/2,-z'
'-x+1/2,y+1/2,-z'
'x+1/2,-y+1/2,z'
loop_
_atom_site_label
_atom_site_fract_x
_atom_site_fract_y
_atom_site_fract_z
Ho1 0.000 0.000 0.000
Ho2 0.170 0.500 0.660
Ga1 0.034 0.000 0.370
Ga2 0.243 0.500 0.076
Ag1 0.105 0.500 0.273
```

Properties
Volume, Å³/cell: 374.83
E_tot, eV per atom: -4.05
Magnetization, μB per atom: 0.0015

[10]
Below is a geometry-optimized HoGaAg structure, with properties calculated at the PBE level.

Cell and atoms, written as CIF:
```
data_HoGaAg
_symmetry_space_group_name_H-M 'F -4 3 m'
_symmetry_Int_Tables_number 216
_symmetry_space_group_name_Hall 'F -4 2 3'
_cell_length_a 6.594
_cell_length_b 6.594
_cell_length_c 6.594
_cell_angle_alpha 90.00
_cell_angle_beta 90.00
_cell_angle_gamma 90.00
loop_
_atom_site_label
_atom_site_fract_x
_atom_site_fract_y
_atom_site_fract_z
Ho1 0.000 0.000 0.000
Ga1 0.000 0.000 0.500
Ag1 0.250 0.250 0.750
```

Properties
Volume, Å³/cell: 286.72
E_tot, eV per atom: -3.74
Magnetization, μB per atom: 0.0002

[11]
Below is a geometry-optimized Ho3Ga8Ag3 structure, with properties calculated at the PBE level.

Cell and atoms, written as CIF:
```
data_Ho3Ga8Ag3
_symmetry_space_group_name_H-M 'I m m m'
_symmetry_Int_Tables_number 71
_symmetry_space_group_name_Hall '-I 2 2'
_cell_length_a 4.306
_cell_length_b 9.539
_cell_length_c 12.955
_cell_angle_alpha 90.00
_cell_angle_beta 90.00
_cell_angle_gamma 90.00
loop_
_atom_site_label
_atom_site_fract_x
_atom_site_fract_y
_atom_site_fract_z
Ho1 0.000 0.000 0.000
Ho2 0.000 0.000 0.301
Ga1 0.000 0.282 0.144
Ga2 0.000 0.369 0.341
Ag1 0.000 0.197 0.500
Ag2 0.000 0.500 0.000
```

Properties
Volume, Å³/cell: 532.12
E_tot, eV per atom: -3.76
Magnetization, μB per atom: 0.0009

[12]
Below is a geometry-optimized HoGaAg structure, with properties calculated at the PBE level.

Cell and atoms, written as CIF:
```
data_HoGaAg
_symmetry_space_group_name_H-M 'F -4 3 m'
_symmetry_Int_Tables_number 216
_symmetry_space_group_name_Hall 'F -4 2 3'
_cell_length_a 6.760
_cell_length_b 6.760
_cell_length_c 6.760
_cell_angle_alpha 90.00
_cell_angle_beta 90.00
_cell_angle_gamma 90.00
loop_
_atom_site_label
_atom_site_fract_x
_atom_site_fract_y
_atom_site_fract_z
Ho1 0.000 0.000 0.000
Ga1 0.250 0.250 0.250
Ag1 0.250 0.250 0.750
```

Properties
Volume, Å³/cell: 308.85
E_tot, eV per atom: -3.39
Magnetization, μB per atom: 0.0011

What did the sixth record say?
Below is a geometry-optimized LiGaAgHg structure, with properties calculated at the PBE level.

Cell and atoms, written as CIF:
```
data_LiGaAgHg
_symmetry_space_group_name_H-M 'F -4 3 m'
_symmetry_Int_Tables_number 216
_symmetry_space_group_name_Hall 'F -4 2 3'
_cell_length_a 6.579
_cell_length_b 6.579
_cell_length_c 6.579
_cell_angle_alpha 90.00
_cell_angle_beta 90.00
_cell_angle_gamma 90.00
loop_
_atom_site_label
_atom_site_fract_x
_atom_site_fract_y
_atom_site_fract_z
Li1 0.000 0.000 0.000
Ga1 0.000 0.000 0.500
Ag1 0.250 0.250 0.250
Hg1 0.250 0.250 0.750
```

Properties
Volume, Å³/cell: 284.76
E_tot, eV per atom: -2.21
Energy above the most stable polymorph in this dataset, eV per atom: 0.000

- Which of these has the highest E_tot?
  GaAgHg

- The highest E_tot belongs to which entry?
  GaAgHg